{"formula": "SmMgNO", "functional": "GGA-PBE", "state": "optimized geometry", "cell": [[3.610, 0.000, 0.000], [0.000, 6.102, 0.000], [0.000, 0.000, 5.749]], "species": ["Sm", "Sm", "Mg", "Mg", "N", "N", "O", "O"], "fractional_positions": [[0.000, 0.189, 0.000], [0.000, 0.811, 0.500], [0.500, 0.340, 0.500], [0.500, 0.660, 0.000], [0.500, 0.354, 0.854], [0.500, 0.646, 0.354], [0.000, 0.178, 0.404], [0.000, 0.822, 0.904]]}

---

{"formula": "SmMgNO", "functional": "GGA-PBE", "state": "optimized geometry", "cell": [[6.218, 0.000, 0.000], [0.000, 7.016, 0.000], [0.000, 0.000, 5.770]], "species": ["Sm", "Sm", "Sm", "Sm", "Mg", "Mg", "Mg", "Mg", "N", "N", "N", "N", "O", "O", "O", "O"], "fractional_positions": [[0.069, 0.156, 0.000], [0.431, 0.156, 0.500], [0.569, 0.844, 0.000], [0.931, 0.844, 0.500], [0.090, 0.607, 0.015], [0.410, 0.607, 0.515], [0.590, 0.393, 0.015], [0.910, 0.393, 0.515], [0.103, 0.609, 0.657], [0.397, 0.609, 0.157], [0.603, 0.391, 0.657], [0.897, 0.391, 0.157], [0.074, 0.134, 0.601], [0.426, 0.134, 0.101], [0.574, 0.866, 0.601], [0.926, 0.866, 0.101]]}

---

{"formula": "SmMgNO", "functional": "GGA-PBE", "state": "optimized geometry", "cell": [[3.806, 0.000, 0.000], [0.000, 3.806, 0.000], [0.000, 0.000, 7.907]], "species": ["Sm", "Sm", "Mg", "Mg", "N", "N", "O", "O"], "fractional_positions": [[0.250, 0.250, 0.154], [0.750, 0.750, 0.846], [0.250, 0.750, 0.500], [0.750, 0.250, 0.500], [0.250, 0.250, 0.621], [0.750, 0.750, 0.379], [0.250, 0.750, 0.000], [0.750, 0.250, 0.000]]}

---

{"formula": "TbMgNO", "functional": "GGA-PBE", "state": "optimized geometry", "cell": [[3.362, 0.000, 0.000], [0.000, 3.362, 0.000], [0.000, 0.000, 4.542]], "species": ["Tb", "Mg", "N", "O"], "fractional_positions": [[0.000, 0.000, 0.000], [0.500, 0.500, 0.500], [0.500, 0.500, 0.000], [0.000, 0.000, 0.500]]}

---

{"formula": "TbMgNO", "functional": "GGA-PBE", "state": "optimized geometry", "cell": [[3.879, 0.000, 0.000], [0.000, 6.113, 0.000], [0.000, 0.000, 4.916]], "species": ["Tb", "Tb", "Mg", "Mg", "N", "N", "O", "O"], "fractional_positions": [[0.000, 0.190, 0.000], [0.000, 0.810, 0.500], [0.500, 0.326, 0.521], [0.500, 0.674, 0.021], [0.000, 0.183, 0.482], [0.000, 0.817, 0.982], [0.500, 0.355, 0.941], [0.500, 0.645, 0.441]]}

---

{"formula": "TbMgNO", "functional": "GGA-PBE", "state": "optimized geometry", "cell": [[3.759, 0.000, 0.000], [0.000, 3.759, 0.000], [0.000, 0.000, 7.785]], "species": ["Tb", "Tb", "Mg", "Mg", "N", "N", "O", "O"], "fractional_positions": [[0.250, 0.250, 0.150], [0.750, 0.750, 0.850], [0.250, 0.750, 0.500], [0.750, 0.250, 0.500], [0.250, 0.250, 0.626], [0.750, 0.750, 0.374], [0.250, 0.750, 0.000], [0.750, 0.250, 0.000]]}

---

{"formula": "TbMgNO", "functional": "GGA-PBE", "state": "optimized geometry", "cell": [[6.167, 0.000, 0.000], [0.000, 6.936, 0.000], [0.000, 0.000, 5.710]], "species": ["Tb", "Tb", "Tb", "Tb", "Mg", "Mg", "Mg", "Mg", "N", "N", "N", "N", "O", "O", "O", "O"], "fractional_positions": [[0.074, 0.149, 0.000], [0.426, 0.149, 0.500], [0.574, 0.851, 0.000], [0.926, 0.851, 0.500], [0.093, 0.607, 0.012], [0.407, 0.607, 0.512], [0.593, 0.393, 0.012], [0.907, 0.393, 0.512], [0.096, 0.617, 0.650], [0.404, 0.617, 0.150], [0.596, 0.383, 0.650], [0.904, 0.383, 0.150], [0.077, 0.132, 0.607], [0.423, 0.132, 0.107], [0.577, 0.868, 0.607], [0.923, 0.868, 0.107]]}

---

{"formula": "TbMgNO", "functional": "GGA-PBE", "state": "optimized geometry", "cell": [[3.569, 0.000, 0.000], [0.000, 6.079, 0.000], [0.000, 0.000, 5.640]], "species": ["Tb", "Tb", "Mg", "Mg", "N", "N", "O", "O"], "fractional_positions": [[0.000, 0.180, 0.000], [0.000, 0.820, 0.500], [0.500, 0.345, 0.501], [0.500, 0.655, 0.001], [0.500, 0.343, 0.862], [0.500, 0.657, 0.362], [0.000, 0.178, 0.400], [0.000, 0.822, 0.900]]}

---

{"formula": "TbMgNO", "functional": "GGA-PBE", "state": "optimized geometry", "cell": [[5.884, 0.000, 0.000], [0.000, 7.673, 0.000], [0.000, 0.000, 5.029]], "species": ["Tb", "Tb", "Tb", "Tb", "Mg", "Mg", "Mg", "Mg", "N", "N", "N", "N", "O", "O", "O", "O"], "fractional_positions": [[0.054, 0.144, 0.000], [0.446, 0.144, 0.500], [0.554, 0.856, 0.000], [0.946, 0.856, 0.500], [0.077, 0.610, 0.975], [0.423, 0.610, 0.475], [0.577, 0.390, 0.975], [0.923, 0.390, 0.475], [0.061, 0.143, 0.524], [0.439, 0.143, 0.024], [0.561, 0.857, 0.524], [0.939, 0.857, 0.024], [0.101, 0.595, 0.579], [0.399, 0.595, 0.079], [0.601, 0.405, 0.579], [0.899, 0.405, 0.079]]}

---

{"formula": "MgTcNO", "functional": "GGA-PBE", "state": "optimized geometry", "cell": [[2.737, 0.000, 0.000], [0.000, 3.007, 0.000], [0.000, 0.000, 5.485]], "species": ["Mg", "Tc", "N", "O"], "fractional_positions": [[0.000, 0.000, 0.000], [0.500, 0.500, 0.524], [0.500, 0.000, 0.322], [0.500, 0.500, 0.898]]}

---

{"formula": "MgTcNO", "functional": "GGA-PBE", "state": "optimized geometry", "cell": [[3.295, 0.000, 0.000], [0.000, 5.558, 0.000], [0.000, 0.000, 5.482]], "species": ["Mg", "Mg", "Tc", "Tc", "N", "N", "O", "O"], "fractional_positions": [[0.000, 0.161, 0.000], [0.000, 0.839, 0.500], [0.500, 0.324, 0.507], [0.500, 0.676, 0.007], [0.000, 0.204, 0.379], [0.000, 0.796, 0.879], [0.500, 0.314, 0.877], [0.500, 0.686, 0.377]]}

---

{"formula": "MgTcNO", "functional": "GGA-PBE", "state": "optimized geometry", "cell": [[3.022, 0.000, 0.000], [0.000, 5.912, 0.000], [0.000, 0.000, 5.375]], "species": ["Mg", "Mg", "Tc", "Tc", "N", "N", "O", "O"], "fractional_positions": [[0.000, 0.158, 0.000], [0.000, 0.842, 0.500], [0.500, 0.390, 0.467], [0.500, 0.610, 0.967], [0.500, 0.320, 0.813], [0.500, 0.680, 0.313], [0.000, 0.149, 0.365], [0.000, 0.851, 0.865]]}

---

{"formula": "MgTcNO", "functional": "GGA-PBE", "state": "optimized geometry", "cell": [[3.895, 0.000, 0.000], [0.000, 3.895, 0.000], [0.000, 0.000, 6.291]], "species": ["Mg", "Mg", "Tc", "Tc", "N", "N", "O", "O"], "fractional_positions": [[0.250, 0.250, 0.048], [0.750, 0.750, 0.952], [0.250, 0.750, 0.500], [0.750, 0.250, 0.500], [0.250, 0.250, 0.391], [0.750, 0.750, 0.609], [0.250, 0.750, 0.000], [0.750, 0.250, 0.000]]}

---

{"formula": "MgTcNO", "functional": "GGA-PBE", "state": "optimized geometry", "cell": [[5.639, 0.000, 0.000], [0.000, 7.281, 0.000], [0.000, 0.000, 4.508]], "species": ["Mg", "Mg", "Mg", "Mg", "Tc", "Tc", "Tc", "Tc", "N", "N", "N", "N", "O", "O", "O", "O"], "fractional_positions": [[0.085, 0.130, 0.000], [0.415, 0.130, 0.500], [0.585, 0.870, 0.000], [0.915, 0.870, 0.500], [0.148, 0.657, 0.985], [0.352, 0.657, 0.485], [0.648, 0.343, 0.985], [0.852, 0.343, 0.485], [0.046, 0.138, 0.511], [0.454, 0.138, 0.011], [0.546, 0.862, 0.511], [0.954, 0.862, 0.011], [0.014, 0.400, 0.052], [0.486, 0.400, 0.552], [0.514, 0.600, 0.052], [0.986, 0.600, 0.552]]}

---

{"formula": "MgTcNO", "functional": "GGA-PBE", "state": "optimized geometry", "cell": [[3.483, 0.000, 0.000], [0.000, 3.483, 0.000], [0.000, 0.000, 7.240]], "species": ["Mg", "Mg", "Tc", "Tc", "N", "N", "O", "O"], "fractional_positions": [[0.250, 0.750, 0.000], [0.750, 0.250, 0.000], [0.250, 0.250, 0.340], [0.750, 0.750, 0.660], [0.250, 0.250, 0.836], [0.750, 0.750, 0.164], [0.250, 0.750, 0.500], [0.750, 0.250, 0.500]]}

---

{"formula": "MgZrNO", "functional": "GGA-PBE", "state": "optimized geometry", "cell": [[4.466, 0.000, 0.000], [0.000, 3.576, 0.000], [0.000, 0.000, 6.492]], "species": ["Mg", "Mg", "Zr", "Zr", "N", "N", "O", "O"], "fractional_positions": [[0.250, 0.000, 0.150], [0.750, 0.000, 0.850], [0.250, 0.500, 0.660], [0.750, 0.500, 0.340], [0.250, 0.000, 0.830], [0.750, 0.000, 0.170], [0.250, 0.500, 0.307], [0.750, 0.500, 0.693]]}

---

{"formula": "MgZrNO", "functional": "GGA-PBE", "state": "optimized geometry", "cell": [[3.567, 0.000, 0.000], [0.000, 3.567, 0.000], [0.000, 0.000, 7.577]], "species": ["Mg", "Mg", "Zr", "Zr", "N", "N", "O", "O"], "fractional_positions": [[0.250, 0.750, 0.000], [0.750, 0.250, 0.000], [0.250, 0.250, 0.343], [0.750, 0.750, 0.657], [0.250, 0.250, 0.834], [0.750, 0.750, 0.166], [0.250, 0.750, 0.500], [0.750, 0.250, 0.500]]}

---

{"formula": "MgZrNO", "functional": "GGA-PBE", "state": "optimized geometry", "cell": [[7.448, 0.000, 0.000], [0.000, 6.260, 0.000], [0.000, 0.000, 4.503]], "species": ["Mg", "Mg", "Mg", "Mg", "Zr", "Zr", "Zr", "Zr", "N", "N", "N", "N", "O", "O", "O", "O"], "fractional_positions": [[0.109, 0.095, 0.250], [0.109, 0.405, 0.750], [0.891, 0.595, 0.250], [0.891, 0.905, 0.750], [0.367, 0.573, 0.250], [0.367, 0.927, 0.750], [0.633, 0.073, 0.250], [0.633, 0.427, 0.750], [0.130, 0.075, 0.750], [0.130, 0.425, 0.250], [0.870, 0.575, 0.750], [0.870, 0.925, 0.250], [0.359, 0.578, 0.750], [0.359, 0.922, 0.250], [0.641, 0.078, 0.750], [0.641, 0.422, 0.250]]}

---

{"formula": "MgZrNO", "functional": "GGA-PBE", "state": "optimized geometry", "cell": [[4.457, 0.000, 0.000], [0.000, 3.589, 0.000], [0.000, 0.000, 6.492]], "species": ["Mg", "Mg", "Zr", "Zr", "N", "N", "O", "O"], "fractional_positions": [[0.250, 0.000, 0.161], [0.750, 0.000, 0.839], [0.250, 0.500, 0.652], [0.750, 0.500, 0.348], [0.250, 0.500, 0.321], [0.750, 0.500, 0.679], [0.250, 0.000, 0.853], [0.750, 0.000, 0.147]]}

---

{"formula": "MgZrNO", "functional": "GGA-PBE", "state": "optimized geometry", "cell": [[4.476, 0.000, 0.000], [0.000, 4.476, 0.000], [0.000, 0.000, 4.480]], "species": ["Mg", "Mg", "Zr", "Zr", "N", "N", "O", "O"], "fractional_positions": [[0.250, 0.250, 0.001], [0.750, 0.750, 0.999], [0.250, 0.750, 0.500], [0.750, 0.250, 0.500], [0.250, 0.250, 0.499], [0.750, 0.750, 0.501], [0.250, 0.750, 0.000], [0.750, 0.250, 0.000]]}

---

Magnetization values, unit μB per formula unit, following the record order: 0.0; 0.0; 0.0; 0.0; 0.0; 0.0; 0.0; 0.0; 0.0; 0.0; 0.0; 0.0; 0.7; 0.0; 1.5; 0.0; 0.9; 0.0; 0.0; 0.0.
Relative energy among the computed polymorphs values, unit eV/atom, following the record order: 0.128; 0.220; 0.250; 0.060; 0.031; 0.285; 0.229; 0.126; 0.000; 0.000; 0.164; 0.074; 0.003; 0.204; 1.017; 0.113; 0.658; 0.248; 0.096; 0.000.